BeGe2C: optimized geometry, PBE.

space-group type	Fm-3m
E	-16.43	eV/cell
theoretical density	5.3	g/cm³
density of states at the Fermi level	1.55	states/eV/f.u.
ΔE to the lowest computed polymorph	775	meV per atom
DFT formation energy	1.439	eV/atom

Cell and atoms, written as POSCAR:
```
BeGe2C
1.0
0.000 2.972 2.972
2.972 0.000 2.972
2.972 2.972 0.000
Be Ge C
1 2 1
Direct
0.000 0.000 0.000
0.250 0.250 0.250
0.750 0.750 0.750
0.500 0.500 0.500
```